This record from Alexandria via LeMat-Bulk describes a relaxed ErThPb6 crystal. The functional is PBE-GGA.

Geometry as POSCAR:
```
ErThPb6
1.0
4.8960 0.0000 0.0000
0.0000 4.8960 0.0000
0.0000 0.0000 9.7441
Er Th Pb
1 1 6
direct
0.0000 0.0000 0.0000
0.0000 0.0000 0.5000
0.0000 0.5000 0.2453
0.0000 0.5000 0.7547
0.5000 0.0000 0.2453
0.5000 0.0000 0.7547
0.5000 0.5000 0.0000
0.5000 0.5000 0.5000
```

## Properties
Symmetry: No. 123

=====

This record from Alexandria via LeMat-Bulk describes a relaxed ErThPb2 crystal. The functional is PBE-GGA.

Geometry as POSCAR:
```
ErThPb2
1.0
5.0495 0.0000 0.0000
0.0000 5.0495 0.0000
0.0000 0.0000 4.5473
Er Th Pb
1 1 2
direct
0.0000 0.0000 0.0000
0.5000 0.5000 0.0000
0.0000 0.5000 0.5000
0.5000 0.0000 0.5000
```

## Properties
Symmetry: No. 123

=====

This record from Alexandria via LeMat-Bulk describes a relaxed ErTh2Pb crystal. The functional is PBE-GGA.

Geometry as POSCAR:
```
ErTh2Pb
1.0
4.8118 0.0000 0.0000
0.0000 4.8118 0.0000
0.0000 0.0000 5.1445
Er Th Pb
1 2 1
direct
0.0000 0.0000 0.0000
0.0000 0.5000 0.5000
0.5000 0.0000 0.5000
0.5000 0.5000 0.0000
```

## Properties
Symmetry: No. 123
Polymorph energy (0 for the lowest one), meV/atom: 0

=====

This record from Alexandria via LeMat-Bulk describes a relaxed ErTh3Pb5 crystal. The functional is PBE-GGA.

Geometry as POSCAR:
```
ErTh3Pb5
1.0
9.7121 0.0000 0.0000
-4.8561 8.4109 0.0000
0.0000 0.0000 6.5693
Er Th Pb
2 6 10
direct
0.0000 0.0000 0.0000
0.0000 0.0000 0.5000
0.0000 0.3846 0.2500
0.0000 0.6154 0.7500
0.3846 0.0000 0.2500
0.3846 0.3846 0.7500
0.6154 0.0000 0.7500
0.6154 0.6154 0.2500
0.0000 0.2764 0.7500
0.0000 0.7236 0.2500
0.2764 0.0000 0.7500
0.2764 0.2764 0.2500
0.3333 0.6667 0.0000
0.3333 0.6667 0.5000
0.6667 0.3333 0.0000
0.6667 0.3333 0.5000
0.7236 0.0000 0.2500
0.7236 0.7236 0.7500
```

## Properties
Symmetry: No. 193

=====

This record from Alexandria via LeMat-Bulk describes a relaxed ErThPb2 crystal. The functional is PBE-GGA.

Geometry as POSCAR:
```
ErThPb2
1.0
4.3953 0.0000 0.0000
-2.1976 3.8064 0.0000
0.0000 0.0000 7.9896
Er Th Pb
1 1 2
direct
0.0000 0.0000 0.0000
0.0000 0.0000 0.5000
0.3333 0.6667 0.2407
0.6667 0.3333 0.7593
```

## Properties
Symmetry: No. 164

=====

This record from Alexandria via LeMat-Bulk describes a relaxed ErThPb crystal. The functional is PBE-GGA.

Geometry as POSCAR:
```
ErThPb
1.0
-2.2834 2.2834 8.7733
2.2834 -2.2834 8.7733
2.2834 2.2834 -8.7733
Er Th Pb
2 2 2
direct
0.1733 0.1733 0.0000
0.8267 0.8267 0.0000
0.0000 0.5000 0.5000
0.5000 0.0000 0.5000
0.3529 0.3529 0.0000
0.6471 0.6471 0.0000
```

## Properties
Symmetry: No. 139
Polymorph energy (0 for the lowest one), meV/atom: 0

=====

This record from Alexandria via LeMat-Bulk describes a relaxed Er3ThPb2 crystal. The functional is PBE-GGA.

Geometry as POSCAR:
```
Er3ThPb2
1.0
9.2009 -2.2644 0.0000
9.2009 2.2644 0.0000
-3.7054 0.0000 8.8077
Er Th Pb
6 2 4
direct
0.0584 0.0584 0.1834
0.3089 0.3089 0.6096
0.3607 0.3607 0.0174
0.6393 0.6393 0.9826
0.6911 0.6911 0.3904
0.9416 0.9416 0.8166
0.1146 0.1146 0.6298
0.8854 0.8854 0.3702
0.2451 0.2451 0.2086
0.4884 0.4884 0.6509
0.5116 0.5116 0.3491
0.7549 0.7549 0.7914
```

## Properties
Symmetry: No. 12
Polymorph energy (0 for the lowest one), meV/atom: 81

=====

This record from Alexandria via LeMat-Bulk describes a relaxed Er3ThPb2 crystal. The functional is PBE-GGA.

Geometry as POSCAR:
```
Er3ThPb2
1.0
4.5882 0.0000 0.0000
0.0000 4.5882 0.0000
0.0000 0.0000 8.5787
Er Th Pb
3 1 2
direct
0.0000 0.0000 0.0000
0.0000 0.5000 0.6594
0.5000 0.0000 0.3406
0.5000 0.5000 0.0000
0.0000 0.5000 0.2916
0.5000 0.0000 0.7084
```

## Properties
Symmetry: No. 115
Polymorph energy (0 for the lowest one), meV/atom: 0

=====

This record from Alexandria via LeMat-Bulk describes a relaxed ErTh6Pb10 crystal. The functional is PBE-GGA.

Geometry as POSCAR:
```
ErTh6Pb10
1.0
9.6731 0.0000 0.0000
-4.8365 8.3771 0.0000
0.0000 0.0000 6.4324
Er Th Pb
1 6 10
direct
0.0000 0.0000 0.0000
0.0000 0.3875 0.7568
0.0000 0.6125 0.2432
0.3875 0.0000 0.7568
0.3875 0.3875 0.2432
0.6125 0.0000 0.2432
0.6125 0.6125 0.7568
0.0000 0.2612 0.2762
0.0000 0.7388 0.7238
0.2612 0.0000 0.2762
0.2612 0.2612 0.7238
0.3333 0.6667 0.0000
0.3333 0.6667 0.5000
0.6667 0.3333 0.0000
0.6667 0.3333 0.5000
0.7388 0.0000 0.7238
0.7388 0.7388 0.2762
```

## Properties
Symmetry: No. 162

=====

This record from Alexandria via LeMat-Bulk describes a relaxed ErThPb crystal. The functional is PBE-GGA.

Geometry as POSCAR:
```
ErThPb
1.0
5.4368 0.0000 0.0000
-2.7184 4.7084 0.0000
0.0000 0.0000 3.5920
Er Th Pb
1 1 1
direct
0.0000 0.0000 0.0000
0.6667 0.3333 0.5230
0.3333 0.6667 0.1789
```

## Properties
Symmetry: No. 156
Polymorph energy (0 for the lowest one), meV/atom: 276

=====

This record from Alexandria via LeMat-Bulk describes a relaxed ErThPb2 crystal. The functional is PBE-GGA.

Geometry as POSCAR:
```
ErThPb2
1.0
0.0000 3.8866 3.8866
3.8866 0.0000 3.8866
3.8866 3.8866 0.0000
Er Th Pb
1 1 2
direct
0.0000 0.0000 0.0000
0.5000 0.5000 0.5000
0.2500 0.2500 0.2500
0.7500 0.7500 0.7500
```

## Properties
Symmetry: No. 225

=====

This record from Alexandria via LeMat-Bulk describes a relaxed ErTh2Pb crystal. The functional is PBE-GGA.

Geometry as POSCAR:
```
ErTh2Pb
1.0
1.7817 1.0287 11.5086
-1.7817 1.0287 11.5086
0.0000 -2.0573 11.5086
Er Th Pb
1 2 1
direct
0.0000 0.0000 0.0000
0.5824 0.5824 0.5824
0.7505 0.7505 0.7505
0.1657 0.1657 0.1657
```

## Properties
Symmetry: No. 160
Polymorph energy (0 for the lowest one), meV/atom: 175

=====

This record from Alexandria via LeMat-Bulk describes a relaxed ErThPb2 crystal. The functional is PBE-GGA.

Geometry as POSCAR:
```
ErThPb2
1.0
1.7938 1.0357 10.6323
-1.7938 1.0357 10.6323
0.0000 -2.0713 10.6323
Er Th Pb
1 1 2
direct
0.0000 0.0000 0.0000
0.5000 0.5000 0.5000
0.2531 0.2531 0.2531
0.7469 0.7469 0.7469
```

## Properties
Symmetry: No. 166

=====

This record from Alexandria via LeMat-Bulk describes a relaxed ErThPb crystal. The functional is PBE-GGA.

Geometry as POSCAR:
```
ErThPb
1.0
-2.0547 2.0547 5.2954
2.0547 -2.0547 5.2954
2.0547 2.0547 -5.2954
Er Th Pb
1 1 1
direct
0.0000 0.0000 0.0000
0.6876 0.6876 0.0000
0.3555 0.3555 0.0000
```

## Properties
Symmetry: No. 107
Polymorph energy (0 for the lowest one), meV/atom: 166

=====

This record from Alexandria via LeMat-Bulk describes a relaxed Er2ThPb9 crystal. The functional is PBE-GGA.

Geometry as POSCAR:
```
Er2ThPb9
1.0
4.8888 0.0000 0.0000
0.0000 4.8888 0.0000
0.0000 0.0000 14.6104
Er Th Pb
2 1 9
direct
0.0000 0.0000 0.1724
0.0000 0.0000 0.8276
0.0000 0.0000 0.5000
0.0000 0.5000 0.0000
0.0000 0.5000 0.3306
0.0000 0.5000 0.6694
0.5000 0.0000 0.0000
0.5000 0.0000 0.3306
0.5000 0.0000 0.6694
0.5000 0.5000 0.1644
0.5000 0.5000 0.5000
0.5000 0.5000 0.8356
```

## Properties
Symmetry: No. 123

=====

This record from Alexandria via LeMat-Bulk describes a relaxed Er5ThPb6 crystal. The functional is PBE-GGA.

Geometry as POSCAR:
```
Er5ThPb6
1.0
3.0993 -7.8624 0.0000
3.0993 7.8624 0.0000
-1.7976 0.0000 7.2034
Er Th Pb
5 1 6
direct
0.0000 0.0000 0.0000
0.3300 0.6700 0.5000
0.3405 0.6595 0.0000
0.6595 0.3405 0.0000
0.6700 0.3300 0.5000
0.0000 0.0000 0.5000
0.1684 0.8255 0.7611
0.1745 0.8316 0.2389
0.4849 0.4849 0.2576
0.5151 0.5151 0.7424
0.8255 0.1684 0.7611
0.8316 0.1745 0.2389
```

## Properties
Symmetry: No. 12

=====

This record from Alexandria via LeMat-Bulk describes a relaxed ErThPb2 crystal. The functional is PBE-GGA.

Geometry as POSCAR:
```
ErThPb2
1.0
3.5886 0.0000 0.0000
0.0000 3.5886 0.0000
0.0000 0.0000 8.9586
Er Th Pb
1 1 2
direct
0.0000 0.0000 0.0000
0.0000 0.0000 0.5000
0.5000 0.5000 0.2393
0.5000 0.5000 0.7607
```

## Properties
Symmetry: No. 123

=====

This record from Alexandria via LeMat-Bulk describes a relaxed ErTh2Pb crystal. The functional is PBE-GGA.

Geometry as POSCAR:
```
ErTh2Pb
1.0
1.7575 1.0147 12.3756
-1.7575 1.0147 12.3756
0.0000 -2.0293 12.3756
Er Th Pb
1 2 1
direct
0.0000 0.0000 0.0000
0.4112 0.4112 0.4112
0.5888 0.5888 0.5888
0.5000 0.5000 0.5000
```

## Properties
Symmetry: No. 166
Polymorph energy (0 for the lowest one), meV/atom: 357

=====

This record from Alexandria via LeMat-Bulk describes a relaxed Er4ThPb5 crystal. The functional is PBE-GGA.

Geometry as POSCAR:
```
Er4ThPb5
1.0
-4.9766 4.9766 3.1562
4.9766 -4.9766 3.1562
4.9766 4.9766 -3.1562
Er Th Pb
4 1 5
direct
0.1037 0.2968 0.4005
0.2968 0.8963 0.1930
0.7032 0.1037 0.8070
0.8963 0.7032 0.5995
0.5016 0.5016 0.0000
0.0016 0.0016 0.0000
0.1920 0.5990 0.7911
0.4009 0.1920 0.5930
0.5990 0.8078 0.4070
0.8078 0.4009 0.2089
```

## Properties
Symmetry: No. 79

=====

This record from Alexandria via LeMat-Bulk describes a relaxed ErTh2Pb9 crystal. The functional is PBE-GGA.

Geometry as POSCAR:
```
ErTh2Pb9
1.0
4.9066 0.0000 0.0000
0.0000 4.9066 0.0000
0.0000 0.0000 14.6260
Er Th Pb
1 2 9
direct
0.0000 0.0000 0.0000
0.0000 0.0000 0.3356
0.0000 0.0000 0.6644
0.0000 0.5000 0.1632
0.0000 0.5000 0.5000
0.0000 0.5000 0.8368
0.5000 0.0000 0.1632
0.5000 0.0000 0.5000
0.5000 0.0000 0.8368
0.5000 0.5000 0.0000
0.5000 0.5000 0.3310
0.5000 0.5000 0.6690
```

## Properties
Symmetry: No. 123

=====

Number 1: energy relative to the elements -0.23 eV/atom. Number 2: energy relative to the elements -0.33 eV/atom. Number 3: energy relative to the elements -0.20 eV/atom. Number 4: energy relative to the elements -0.36 eV/atom. Number 5: energy relative to the elements -0.16 eV/atom. Number 6: energy relative to the elements -0.32 eV/atom. Number 7: energy relative to the elements -0.24 eV/atom. Number 8: energy relative to the elements -0.32 eV/atom. Number 9: energy relative to the elements -0.26 eV/atom. Number 10: energy relative to the elements -0.05 eV/atom. Number 11: energy relative to the elements -0.24 eV/atom. Number 12: energy relative to the elements -0.02 eV/atom. Number 13: energy relative to the elements -0.23 eV/atom. Number 14: energy relative to the elements -0.16 eV/atom. Number 15: energy relative to the elements -0.23 eV/atom. Number 16: energy relative to the elements -0.36 eV/atom. Number 17: energy relative to the elements -0.33 eV/atom. Number 18: energy relative to the elements 0.16 eV/atom. Number 19: energy relative to the elements -0.28 eV/atom. Number 20: energy relative to the elements -0.23 eV/atom.